Crystalline Y2VAs2 at its relaxed geometry. Source: Alexandria, functional GGA-PBE.

```
data_Y2VAs2
_chemical_formula_sum 'Y4 V2 As4'
_space_group_name_H-M_alt 'P 4/m b m'
_space_group_IT_number 127
_space_group_name_Hall '-P 4 2ab'
_cell_length_a 7.292
_cell_length_b 7.292
_cell_length_c 4.039
_cell_angle_alpha 90.00
_cell_angle_beta 90.00
_cell_angle_gamma 90.00
loop_
_atom_site_label
_atom_site_type_symbol
_atom_site_fract_x
_atom_site_fract_y
_atom_site_fract_z
Y1 Y 0.160 0.340 0.000
V1 V 0.000 0.000 0.500
As1 As 0.152 0.652 0.500
```

Calculated values
density of states at the Fermi level: 1.98 states/eV/f.u.
energy relative to the elements: -0.89 eV/atom